The following is a DFT calculation (PBE-GGA) of crystalline Pm4CuRu2 at its relaxed geometry.

Unit cell a=7.8519 b=7.8543 c=7.8533 alpha=127.42 beta=102.49 gamma=100.14
Sites, in units of the cell vectors:
Pm: 0.8710 0.0135 0.1449
Pm: 0.3790 0.5230 0.1417
Pm: 0.8710 0.5129 0.6443
Pm: 0.8670 0.2661 0.8856
Pm: 0.3829 0.2686 0.3992
Pm: 0.3790 0.0237 0.6423
Pm: 0.3831 0.7686 0.8992
Pm: 0.8671 0.7664 0.3857
Cu: 0.1167 0.5096 0.3927
Cu: 0.1334 0.0259 0.8928
Ru: 0.6202 0.5129 0.8928
Ru: 0.6298 0.0227 0.3928
Ru: 0.6250 0.2680 0.1430
Ru: 0.1250 0.2680 0.6430

## Properties
Final energy in eV/atom: -6.1157
Space-group type: C2/m
Energy relative to the lowest polymorph listed for this composition in meV/atom: 39